SmVBi2O8: relaxed, GGA+U.

Output
Density of states at the Fermi level in states/eV/cell: 7.06
Calculated total energy in eV/atom: -6.265

Unit cell a=5.2744 b=5.2744 c=6.5630 alpha=90.00 beta=90.00 gamma=120.00
Space group P-3m1 (No. 164)
Symmetry-distinct sites (fractional):
Sm 0.0000 0.0000 0.0000 [1 per cell]
V 0.0000 0.0000 0.5000 [1 per cell]
Bi 0.3333 0.6667 0.3531 [2 per cell]
O 0.1612 0.3225 0.6755 [6 per cell]
O 0.3333 0.6667 0.0442 [2 per cell]